Here is a relaxed LiIn3Si crystal from the Alexandria database. Energies are from PBE.

Summary:
The volume comes out at 149 Å³/cell. For the density of states at the Fermi level, the calculation gives 0.807 states/eV/atom. The value obtained for the energy above the lowest structure with this stoichiometry is 0 meV per atom. The formation energy (no corrections) comes out at 171.3 kJ/mol of formula units. As for the space group: Pm-3m, No. 221. For the raw total energy, the calculation gives -0.10125 Ha/atom.

a = 5.3046 Å, b = 5.3046 Å, c = 5.3046 Å
α = 90.00°, β = 90.00°, γ = 90.00°
Positions (direct):
Li  0.0000  0.0000  0.0000
In  0.0000  0.5000  0.5000
In  0.5000  0.0000  0.5000
In  0.5000  0.5000  0.0000
Si  0.5000  0.5000  0.5000

***

Here is a relaxed Dy2ThIn2Hg2 crystal from the Alexandria database. Energies are from PBE.

Summary:
For the formation enthalpy at 0 K, the calculation gives -0.2035 eV per atom. The volume comes out at 189 Å³/cell. For the density of states at the Fermi level, the calculation gives 0.768 states/eV/atom. As for the space group: R-3m, No. 166. For the raw total energy, the calculation gives -0.12668 Ha/atom.

a = 9.3058 Å, b = 9.3058 Å, c = 9.3058 Å
α = 30.97°, β = 30.97°, γ = 30.97°
Positions (direct):
Dy  0.1315  0.1315  0.1315
Dy  0.8685  0.8685  0.8685
Th  0.0000  0.0000  0.0000
In  0.2685  0.2685  0.2685
In  0.7315  0.7315  0.7315
Hg  0.4288  0.4288  0.4288
Hg  0.5712  0.5712  0.5712